A geometry-optimized CdS2F structure, computed with PBEsol.

Its crystal system is trigonal. As for the uncorrected formation energy: -184.2 meV/atom.

It has space group R-3m (No. 166, hexagonal axes), with a = 4.0014 Å, b = 4.0014 Å, c = 19.4366 Å, α = 90.00°, β = 90.00° and γ = 120.00°. The asymmetric unit holds Cd at (0.0000, 0.0000, 0.0000), S at (0.0000, 0.0000, 0.3973) and F at (0.0000, 0.0000, 0.5000).



A geometry-optimized Nd3Ga structure, computed with PBEsol.

Its crystal system is cubic. The calculated formation energy comes out at -1.1 eV per formula unit.

It has space group Pm-3m (No. 221), with a = 4.762 Å, b = 4.762 Å, c = 4.762 Å, α = 90.00°, β = 90.00° and γ = 90.00°. The asymmetric unit holds Nd at (0.000, 0.000, 0.500) and Ga at (0.500, 0.500, 0.500).



A geometry-optimized Ag2SbAu structure, computed with PBEsol.

Its crystal system is orthorhombic. As for the uncorrected formation energy: 34.8 meV/atom.

It has space group Pmm2 (No. 25), with a = 3.400 Å, b = 3.812 Å, c = 5.785 Å, α = 90.00°, β = 90.00° and γ = 90.00°. The asymmetric unit holds Ag at (0.000, 0.000, 0.000), Ag at (0.500, 0.500, 0.235), Sb at (0.500, 0.500, 0.733) and Au at (0.000, 0.000, 0.481).



A geometry-optimized HgP2Os structure, computed with PBEsol.

Its crystal system is trigonal. The calculated formation energy comes out at 0.5 eV per formula unit.

It has space group R-3m (No. 166, hexagonal axes), with a = 2.9446 Å, b = 2.9446 Å, c = 27.8182 Å, α = 90.00°, β = 90.00° and γ = 120.00°. The asymmetric unit holds Hg at (0.0000, 0.0000, 0.0000), P at (0.0000, 0.0000, 0.2291) and Os at (0.0000, 0.0000, 0.5000).



A geometry-optimized Be2AuSe structure, computed with PBEsol.

Its crystal system is monoclinic. As for the uncorrected formation energy: -131.5 meV/atom.

It has space group Cm (No. 8), with a = 11.836 Å, b = 3.224 Å, c = 3.223 Å, α = 90.00°, β = 105.66° and γ = 90.00°. The asymmetric unit holds Be at (0.000, 0.000, 0.000), Be at (0.135, 0.500, 0.628), Au at (0.201, 0.000, 0.195) and Se at (0.437, 0.000, 0.434).



A geometry-optimized Pr3S3N structure, computed with PBEsol.

Its crystal system is orthorhombic. As for the uncorrected formation energy: -1952.5 meV/atom.

It has space group Pnma (No. 62), with a = 11.968 Å, b = 4.063 Å, c = 12.953 Å, α = 90.00°, β = 90.00° and γ = 90.00°. The asymmetric unit holds Pr at (0.034, 0.250, 0.151), Pr at (0.096, 0.250, 0.624), Pr at (0.231, 0.250, 0.870), S at (0.073, 0.250, 0.392), S at (0.147, 0.750, 0.003), S at (0.236, 0.750, 0.704) and N at (0.054, 0.250, 0.798).



A geometry-optimized NdB4Rh4 structure, computed with PBEsol.

Its crystal system is tetragonal. The calculated formation energy comes out at -5.5 eV per formula unit.

It has space group P4_2/nmc (No. 137, origin choice 2), with a = 5.310 Å, b = 5.310 Å, c = 7.439 Å, α = 90.00°, β = 90.00° and γ = 90.00°. The asymmetric unit holds Nd at (0.250, 0.750, 0.250), B at (0.080, 0.250, 0.097) and Rh at (0.001, 0.750, 0.608).



A geometry-optimized Be3HRu structure, computed with PBEsol.

Its crystal system is cubic. For the uncorrected energy, the calculation gives -18.73 eV/cell.

It has space group Pm-3m (No. 221), with a = 4.137 Å, b = 4.137 Å, c = 4.137 Å, α = 90.00°, β = 90.00° and γ = 90.00°. The asymmetric unit holds Be at (0.000, 0.000, 0.500), H at (0.500, 0.500, 0.500) and Ru at (0.000, 0.000, 0.000).



A geometry-optimized Li2LaTa structure, computed with PBEsol.

Its crystal system is orthorhombic. The calculated formation energy comes out at 2.1 eV per formula unit. The value obtained for the energy above the most stable polymorph in this dataset is 59 meV/atom.

It has space group Pmmm (No. 47), with a = 3.081 Å, b = 5.027 Å, c = 5.558 Å, α = 90.00°, β = 90.00° and γ = 90.00°. The asymmetric unit holds Li at (0.000, 0.000, 0.000), Li at (0.500, 0.500, 0.000), La at (0.000, 0.500, 0.500) and Ta at (0.500, 0.000, 0.500).



A geometry-optimized MgZnTcSn2 structure, computed with PBEsol.

Its crystal system is tetragonal. The calculated formation energy comes out at 4.4 eV per formula unit.

It has space group P4/mmm (No. 123), with a = 5.002 Å, b = 5.002 Å, c = 4.783 Å, α = 90.00°, β = 90.00° and γ = 90.00°. The asymmetric unit holds Mg at (0.000, 0.000, 0.000), Zn at (0.500, 0.500, 0.500), Tc at (0.500, 0.500, 0.000) and Sn at (0.000, 0.500, 0.500).



A geometry-optimized Cr2TcNi structure, computed with PBEsol.

Its crystal system is tetragonal. The calculated formation energy comes out at 0.4 eV per formula unit.

It has space group I-4m2 (No. 119), with a = 3.636 Å, b = 3.636 Å, c = 7.078 Å, α = 90.00°, β = 90.00° and γ = 90.00°. The asymmetric unit holds Cr at (0.000, 0.000, 0.000), Cr at (0.000, 0.500, 0.250), Tc at (0.000, 0.500, 0.750) and Ni at (0.000, 0.000, 0.500).



A geometry-optimized Ga3WBr structure, computed with PBEsol.

Its crystal system is cubic. As for the uncorrected formation energy: 1675.8 meV/atom.

It has space group Pm-3m (No. 221), with a = 5.005 Å, b = 5.005 Å, c = 5.005 Å, α = 90.00°, β = 90.00° and γ = 90.00°. The asymmetric unit holds Ga at (0.000, 0.000, 0.500), W at (0.500, 0.500, 0.500) and Br at (0.000, 0.000, 0.000).